1.
A relaxed ScUTi2 crystal. Source: Alexandria via LeMat-Bulk, functional GGA-PBE.

Computed properties:
- E: -8.089 eV per atom
- Energy relative to the lowest polymorph listed for this composition: 0.0773 eV/atom
- Total magnetic moment: 2.13 Bohr magnetons per cell

Cell: 4.8110 4.8110 4.8110 Å, 60.00 60.00 60.00°
Last column: magnetic moment on the atom in μB.
Fractional coordinates of all 4 atoms:
Sc1 0.5000 0.5000 0.5000  -0.02
U1 0.0000 0.0000 0.0000  1.21
Ti1 0.2500 0.2500 0.2500  0.36
Ti2 0.7500 0.7500 0.7500  0.36

2.
A relaxed ScUTi2 crystal. Source: Alexandria via LeMat-Bulk, functional GGA-PBE.

Computed properties:
- E: -8.167 eV per atom
- Energy relative to the lowest polymorph listed for this composition: 0.0000 eV/atom
- Total magnetic moment: 0.73 Bohr magnetons per cell

Cell: 3.4447 3.4447 6.7239 Å, 90.00 90.00 90.00°
Last column: magnetic moment on the atom in μB.
Fractional coordinates of all 4 atoms:
Sc1 0.5000 0.5000 0.5000  -0.02
U1 0.5000 0.5000 0.0000  0.69
Ti1 0.0000 0.0000 0.7914  0.02
Ti2 0.0000 0.0000 0.2086  0.02

3.
A relaxed ScUTi crystal. Source: Alexandria via LeMat-Bulk, functional GGA-PBE.

Computed properties:
- E: -8.207 eV per atom
- Total magnetic moment: 7.22 Bohr magnetons per cell

Cell: 6.0033 5.7531 8.5801 Å, 90.00 90.00 121.45°
Last column: magnetic moment on the atom in μB.
Fractional coordinates of all 12 atoms:
U1 0.6128 0.2256 0.5700  1.45
U2 0.8872 0.7744 0.0700  1.45
U3 0.3872 0.7744 0.4300  1.45
U4 0.1128 0.2256 0.9300  1.45
Sc1 0.3796 0.2593 0.2500  0.04
Sc2 0.1204 0.7407 0.7500  0.04
Sc3 0.6204 0.7407 0.7500  0.04
Sc4 0.8796 0.2593 0.2500  0.04
Ti1 0.8837 0.7673 0.4083  0.17
Ti2 0.6163 0.2327 0.9083  0.17
Ti3 0.1163 0.2327 0.5917  0.17
Ti4 0.3837 0.7673 0.0917  0.17

4.
A relaxed Sc2Ti2V crystal. Source: Alexandria via LeMat-Bulk, functional GGA-PBE.

Computed properties:
- E: -7.213 eV per atom
- Total magnetic moment: 0.01 Bohr magnetons per cell

Cell: 6.4863 6.4863 4.6455 Å, 90.00 90.00 90.00°
Fractional coordinates of all 10 atoms:
Sc1 0.1685 0.6685 0.5000
Sc2 0.6685 0.8315 0.5000
Sc3 0.8315 0.3315 0.5000
Sc4 0.3315 0.1685 0.5000
V1 0.0000 0.0000 0.0000
V2 0.5000 0.5000 0.0000
Ti1 0.3543 0.8543 0.0000
Ti2 0.8543 0.6457 0.0000
Ti3 0.6457 0.1457 0.0000
Ti4 0.1457 0.3543 0.0000

5.
A relaxed ScTi3V crystal. Source: Alexandria via LeMat-Bulk, functional GGA-PBE.

Computed properties:
- E: -7.334 eV per atom
- Energy relative to the lowest polymorph listed for this composition: 0.0000 eV/atom
- Total magnetic moment: 0.00 Bohr magnetons per cell

Cell: 4.6255 4.6255 4.6255 Å, 90.00 90.00 90.00°
Fractional coordinates of all 5 atoms:
Sc1 0.5000 0.5000 0.5000
V1 0.0000 0.0000 0.0000
Ti1 0.0000 0.5000 0.0000
Ti2 0.0000 0.0000 0.5000
Ti3 0.5000 0.0000 0.0000

6.
A relaxed ScTi2V4 crystal. Source: Alexandria via LeMat-Bulk, functional GGA-PBE.

Computed properties:
- E: -7.130 eV per atom
- Total magnetic moment: 4.18 Bohr magnetons per cell

Cell: 4.3017 4.3017 7.3655 Å, 73.02 73.02 90.00°
Last column: magnetic moment on the atom in μB.
Fractional coordinates of all 7 atoms:
Sc1 0.0000 0.0000 0.0000  0.06
Ti1 0.6280 0.6280 0.7439  0.20
Ti2 0.3720 0.3720 0.2561  0.20
V1 0.8052 0.8052 0.3896  1.14
V2 0.1948 0.1948 0.6104  1.14
V3 0.0000 0.5000 0.0000  0.50
V4 0.5000 0.0000 0.0000  0.50

7.
A relaxed ScTi3V crystal. Source: Alexandria via LeMat-Bulk, functional GGA-PBE.

Computed properties:
- E: -6.470 eV per atom
- Energy relative to the lowest polymorph listed for this composition: 0.8641 eV/atom
- Total magnetic moment: 2.40 Bohr magnetons per cell

Cell: 4.6162 4.6162 4.6162 Å, 90.00 90.00 90.00°
Last column: magnetic moment on the atom in μB.
Fractional coordinates of all 5 atoms:
Sc1 0.0000 0.0000 0.0000  -0.05
V1 0.5000 0.5000 0.5000  2.37
Ti1 0.0000 0.5000 0.0000  -0.12
Ti2 0.0000 0.0000 0.5000  -0.12
Ti3 0.5000 0.0000 0.0000  -0.12

8.
A relaxed ScTiV3 crystal. Source: Alexandria via LeMat-Bulk, functional GGA-PBE.

Computed properties:
- E: -7.404 eV per atom
- Energy relative to the lowest polymorph listed for this composition: 0.0000 eV/atom
- Total magnetic moment: 0.52 Bohr magnetons per cell

Cell: 4.4811 4.4811 4.4811 Å, 90.00 90.00 90.00°
Last column: magnetic moment on the atom in μB.
Fractional coordinates of all 5 atoms:
Sc1 0.5000 0.5000 0.5000  -0.01
V1 0.0000 0.5000 0.0000  0.15
V2 0.0000 0.0000 0.5000  0.15
V3 0.5000 0.0000 0.0000  0.15
Ti1 0.0000 0.0000 0.0000  0.01

9.
A relaxed Sc3TiV crystal. Source: Alexandria via LeMat-Bulk, functional GGA-PBE.

Computed properties:
- E: -6.501 eV per atom
- Energy relative to the lowest polymorph listed for this composition: 0.0000 eV/atom
- Total magnetic moment: 1.32 Bohr magnetons per cell

Cell: 4.8652 4.8652 4.8652 Å, 90.00 90.00 90.00°
Last column: magnetic moment on the atom in μB.
Fractional coordinates of all 5 atoms:
Sc1 0.0000 0.5000 0.0000  0.01
Sc2 0.0000 0.0000 0.5000  0.01
Sc3 0.5000 0.0000 0.0000  0.01
V1 0.0000 0.0000 0.0000  -0.48
Ti1 0.5000 0.5000 0.5000  1.26

10.
A relaxed ScTiV2 crystal. Source: Alexandria via LeMat-Bulk, functional GGA-PBE.

Computed properties:
- E: -7.482 eV per atom
- Total magnetic moment: 0.00 Bohr magnetons per cell

Cell: 6.9860 6.9860 5.6603 Å, 51.89 51.89 90.00°
Fractional coordinates of all 8 atoms:
Sc1 0.5000 0.5000 0.0000
Sc2 0.2500 0.7500 0.5000
V1 0.6388 0.1250 0.2500
V2 0.1112 0.6250 0.2500
V3 0.3750 0.3612 0.7500
V4 0.8750 0.8888 0.7500
Ti1 0.0000 0.0000 0.0000
Ti2 0.7500 0.2500 0.5000